Density functional theory data (GGA-PBE) for a relaxed SmYThCo crystal.

Cell and atoms, written as POSCAR:
```
SmYThCo
1.0
-1.717 -1.159 3.117
0.874 -3.318 1.488
6.630 4.060 5.168
Y Th Co Sm
1 1 1 1
Direct
0.644 0.509 0.952
0.644 0.509 0.319
0.978 0.843 0.151
0.980 0.843 0.641
```

calculated volume = 28.31 Å³ per atom
E_form = 0.0137 eV/atom